Record 1
Mg2ZrRe after structural relaxation, computed with PBE-GGA.

Summary:
Mass density = 6.9 g cm⁻³
SG = Cmm2

Cell and atoms, written as POSCAR:
```
Mg2ZrRe
1.0
2.955 -0.004 0.000
-1.001 2.781 0.000
0.000 0.000 9.581
Zr Re Mg
1 1 2
direct
0.500 0.500 0.722 Zr
0.000 0.000 0.503 Re
0.500 0.500 0.274 Mg
0.000 0.000 0.002 Mg
```

Record 2
CsK6Rb7 after structural relaxation, computed with PBE-GGA.

Summary:
Mass density = 1.3 g cm⁻³
SG = Ibam

Cell and atoms, written as POSCAR:
```
CsK6Rb7
1.0
9.255 0.000 3.473
5.684 16.167 -1.080
-1.008 -3.626 16.754
Rb K Cs
14 12 2
direct
0.124 0.130 0.638 Rb
0.893 0.362 0.870 Rb
0.876 0.870 0.362 Rb
0.750 0.750 0.750 Rb
0.376 0.862 0.370 Rb
0.107 0.638 0.130 Rb
0.210 0.915 0.085 Rb
0.624 0.138 0.630 Rb
0.250 0.250 0.250 Rb
0.290 0.415 0.585 Rb
0.393 0.370 0.862 Rb
0.790 0.085 0.915 Rb
0.607 0.630 0.138 Rb
0.710 0.585 0.415 Rb
0.701 0.904 0.096 K
0.799 0.404 0.596 K
0.491 0.107 0.390 K
0.009 0.110 0.393 K
0.201 0.596 0.404 K
0.509 0.893 0.610 K
0.299 0.096 0.904 K
0.991 0.890 0.607 K
0.512 0.607 0.890 K
0.488 0.393 0.110 K
0.012 0.390 0.107 K
0.988 0.610 0.893 K
0.750 0.250 0.250 Cs
0.250 0.750 0.750 Cs
```

Electronic total energy for the records above, in order: -23.7, -13.6 eV/f.u.
Energy of formation for the records above, in order: 0.134, 0.043 eV/atom